A plane-wave DFT calculation with GGA-PBE was carried out for crystalline BaSb2Pb at its relaxed geometry.

* magnetization: 0.0 μB/f.u.
* raw total energy: -3.724 eV per atom
* raw formation energy: -1.02 eV/f.u.

Unit cell a=4.4701 b=4.4701 c=26.1565 alpha=90.00 beta=90.00 gamma=120.00
Space group R-3m (No. 166, hexagonal axes)
Inequivalent atoms, fractional coordinates:
Ba  0.0000  0.0000  0.0000 x3
Sb  0.0000  0.0000  0.2393 x6
Pb  0.0000  0.0000  0.5000 x3

A plane-wave DFT calculation with GGA-PBE was carried out for crystalline Nb3PN at its relaxed geometry.

* magnetization: 0.0 μB/f.u.
* offset from the most stable computed form: 0 meV per atom
* raw total energy: -9.215 eV per atom
* raw formation energy: -2.13 eV/f.u.

Unit cell a=4.2056 b=4.2056 c=4.2056 alpha=90.00 beta=90.00 gamma=90.00
Space group Pm-3m (No. 221)
Inequivalent atoms, fractional coordinates:
Nb  0.0000  0.0000  0.5000 x3
P  0.5000  0.5000  0.5000 x1
N  0.0000  0.0000  0.0000 x1

A plane-wave DFT calculation with GGA-PBE was carried out for crystalline PrTm2InAu4 at its relaxed geometry.

* energy of formation from the pure elements: -733 meV per atom
* magnetization: 0.0 μB/f.u.
* raw total energy: -4.429 eV per atom

Unit cell a=4.9317 b=4.9317 c=26.3568 alpha=90.00 beta=90.00 gamma=120.00
Space group R-3m (No. 166, hexagonal axes)
Inequivalent atoms, fractional coordinates:
Pr  0.0000  0.0000  0.0000 x3
Tm  0.0000  0.0000  0.2393 x6
In  0.0000  0.0000  0.5000 x3
Au  0.0000  0.0000  0.1203 x6
Au  0.0000  0.0000  0.3864 x6

A plane-wave DFT calculation with GGA-PBE was carried out for crystalline TaMnI2 at its relaxed geometry.

* magnetization: 0.0 μB/f.u.
* offset from the most stable computed form: 0 meV per atom
* raw total energy: -4.920 eV per atom
* raw formation energy: 4.44 eV/f.u.

Unit cell a=6.7461 b=6.7461 c=6.7461 alpha=90.00 beta=90.00 gamma=90.00
Space group Fm-3m (No. 225)
Inequivalent atoms, fractional coordinates:
Ta  0.0000  0.0000  0.0000 x4
Mn  0.0000  0.0000  0.5000 x4
I  0.2500  0.2500  0.2500 x8

A plane-wave DFT calculation with GGA-PBE was carried out for crystalline CrRu2Au at its relaxed geometry.

* energy of formation from the pure elements: 543 meV per atom
* magnetization: 0.0 μB/f.u.
* offset from the most stable computed form: 345 meV per atom
* raw total energy: -7.320 eV per atom

Unit cell a=6.9169 b=6.9169 c=5.2784 alpha=90.00 beta=90.00 gamma=90.00
Space group I-42d (No. 122)
Inequivalent atoms, fractional coordinates:
Cr  0.0000  0.0000  0.0000 x4
Ru  0.1931  0.2500  0.1250 x8
Au  0.0000  0.0000  0.5000 x4

A plane-wave DFT calculation with GGA-PBE was carried out for crystalline Pm3Ho2Zn2 at its relaxed geometry.

* energy of formation from the pure elements: -169 meV per atom
* magnetization: 0.0 μB/f.u.
* offset from the most stable computed form: 0 meV per atom
* raw total energy: -3.877 eV per atom

Unit cell a=3.6361 b=3.6361 c=29.5867 alpha=90.00 beta=90.00 gamma=90.00
Space group I4/mmm (No. 139)
Inequivalent atoms, fractional coordinates:
Pm  0.0000  0.0000  0.0000 x2
Pm  0.0000  0.0000  0.1230 x4
Ho  0.0000  0.0000  0.2901 x4
Zn  0.0000  0.0000  0.4381 x4

A plane-wave DFT calculation with GGA-PBE was carried out for crystalline LiMgZr2 at its relaxed geometry.

* energy of formation from the pure elements: 207 meV per atom
* magnetization: 0.0 μB/f.u.
* raw total energy: -4.944 eV per atom

Unit cell a=3.3608 b=3.3608 c=7.2281 alpha=90.00 beta=90.00 gamma=90.00
Space group P4/mmm (No. 123)
Inequivalent atoms, fractional coordinates:
Li  0.0000  0.0000  0.0000 x1
Mg  0.0000  0.0000  0.5000 x1
Zr  0.5000  0.5000  0.2292 x2

A plane-wave DFT calculation with GGA-PBE was carried out for crystalline Nd8Bi4Te3As at its relaxed geometry.

* magnetization: 0.0 μB/f.u.
* raw total energy: -5.445 eV per atom
* raw formation energy: -19.38 eV/f.u.

Unit cell a=9.0737 b=9.0737 c=22.1367 alpha=90.00 beta=90.00 gamma=120.00
Space group R-3m (No. 166, hexagonal axes)
Inequivalent atoms, fractional coordinates:
Nd  0.0000  0.0000  0.2494 x6
Nd  0.0130  0.5065  0.7472 x18
Bi  0.0000  0.0000  0.5000 x3
Bi  0.0000  0.5000  0.5000 x9
Te  0.0000  0.5000  0.0000 x9
As  0.0000  0.0000  0.0000 x3

A plane-wave DFT calculation with GGA-PBE was carried out for crystalline ZrNi2Ir at its relaxed geometry.

* energy of formation from the pure elements: -448 meV per atom
* magnetization: 0.5 μB/f.u.
* raw total energy: -7.691 eV per atom

Unit cell a=3.8669 b=3.8669 c=7.6487 alpha=90.00 beta=90.00 gamma=90.00
Space group I4/mmm (No. 139)
Inequivalent atoms, fractional coordinates:
Zr  0.0000  0.0000  0.0000 x2
Ni  0.0000  0.5000  0.2500 x4
Ir  0.0000  0.0000  0.5000 x2

A plane-wave DFT calculation with GGA-PBE was carried out for crystalline Zr2MnCr at its relaxed geometry.

* energy of formation from the pure elements: 91 meV per atom
* magnetization: 2.7 μB/f.u.
* offset from the most stable computed form: 32 meV per atom
* raw total energy: -8.882 eV per atom

Unit cell a=6.4872 b=6.4872 c=6.4872 alpha=90.00 beta=90.00 gamma=90.00
Space group Fm-3m (No. 225)
Inequivalent atoms, fractional coordinates:
Zr  0.2500  0.2500  0.2500 x8
Mn  0.0000  0.0000  0.0000 x4
Cr  0.0000  0.0000  0.5000 x4

A plane-wave DFT calculation with GGA-PBE was carried out for crystalline MnBe4Re at its relaxed geometry.

* energy of formation from the pure elements: -313 meV per atom
* magnetization: 0.7 μB/f.u.
* raw total energy: -6.400 eV per atom

Unit cell a=6.0356 b=6.0356 c=6.0356 alpha=90.00 beta=90.00 gamma=90.00
Space group F-43m (No. 216)
Inequivalent atoms, fractional coordinates:
Mn  0.0000  0.0000  0.0000 x4
Be  0.1241  0.1241  0.3759 x16
Re  0.2500  0.2500  0.7500 x4

A plane-wave DFT calculation with GGA-PBE was carried out for crystalline Li3V2CrS6 at its relaxed geometry.

* magnetization: 7.0 μB/f.u.
* raw total energy: -5.902 eV per atom
* raw formation energy: -12.46 eV/f.u.

Unit cell a=6.1610 b=10.4350 c=6.2944 alpha=90.00 beta=108.81 gamma=90.00
Space group C2/m (No. 12)
Inequivalent atoms, fractional coordinates:
Li  0.0000  0.0000  0.0000 x2
Li  0.0000  0.3252  0.0000 x4
V  0.0000  0.1545  0.5000 x4
Cr  0.0000  0.5000  0.5000 x2
S  0.2374  0.3335  0.7227 x8
S  0.2475  0.5000  0.2669 x4

no.,calculated density (g/cm³)
1,6.47
2,7.23
3,12.40
4,10.59
5,11.86
6,7.60
7,4.35
8,7.73
9,11.64
10,7.04
11,8.37
12,3.18